Record 1
{
  "formula": "Ac3Nd2Sm",
  "functional": "PBE-GGA",
  "state": "optimized geometry",
  "space_group": "C2/c, No. 15",
  "total_energy_ev_per_atom": -4.33,
  "cell": [[4.806, -5.365, 0.000], [4.806, 5.365, 0.000], [-1.878, 0.000, 9.269]],
  "species": ["Ac", "Ac", "Ac", "Ac", "Ac", "Ac", "Nd", "Nd", "Nd", "Nd", "Sm", "Sm"],
  "fractional_positions": [[0.057, 0.943, 0.750], [0.204, 0.368, 0.022], [0.368, 0.204, 0.522], [0.632, 0.796, 0.478], [0.796, 0.632, 0.978], [0.943, 0.057, 0.250], [0.116, 0.617, 0.381], [0.383, 0.884, 0.119], [0.617, 0.116, 0.881], [0.884, 0.383, 0.619], [0.379, 0.621, 0.750], [0.621, 0.379, 0.250]]
}

***

Record 2
{
  "formula": "AcSiPd2",
  "functional": "PBE-GGA",
  "state": "optimized geometry",
  "space_group": "Cmmm, No. 65",
  "formation_energy_uncorrected_ev_per_atom": -0.729,
  "cell": [[2.790, -3.938, 0.000], [2.790, 3.938, 0.000], [0.000, 0.000, 4.325]],
  "species": ["Ac", "Si", "Pd", "Pd"],
  "fractional_positions": [[0.000, 0.000, 0.000], [0.500, 0.500, 0.500], [0.000, 0.500, 0.500], [0.500, 0.000, 0.500]]
}

***

Record 3
{
  "formula": "PrCuNiH6",
  "functional": "PBE-GGA",
  "state": "optimized geometry",
  "space_group": "P-6m2, No. 187",
  "total_energy_ev_per_atom": -4.15,
  "cell": [[4.451, 0.000, 0.000], [-2.225, 3.854, 0.000], [0.000, 0.000, 4.407]],
  "species": ["Pr", "Cu", "Ni", "H", "H", "H", "H", "H", "H"],
  "fractional_positions": [[0.000, 0.000, 0.000], [0.333, 0.667, 0.500], [0.667, 0.333, 0.500], [0.508, 0.015, 0.255], [0.508, 0.015, 0.745], [0.508, 0.492, 0.255], [0.508, 0.492, 0.745], [0.985, 0.492, 0.255], [0.985, 0.492, 0.745]]
}

***

Record 4
{
  "formula": "VIn2Tc",
  "functional": "PBE-GGA",
  "state": "optimized geometry",
  "space_group": "Fm-3m, No. 225",
  "total_energy_ev_per_atom": -5.91,
  "cell": [[0.000, 3.282, 3.282], [3.282, 0.000, 3.282], [3.282, 3.282, 0.000]],
  "species": ["V", "In", "In", "Tc"],
  "fractional_positions": [[0.000, 0.000, 0.000], [0.250, 0.250, 0.250], [0.750, 0.750, 0.750], [0.500, 0.500, 0.500]]
}

***

Record 5
{
  "formula": "NiIr2Os",
  "functional": "PBE-GGA",
  "state": "optimized geometry",
  "space_group": "Cmmm, No. 65",
  "total_energy_ev_per_atom": -8.30,
  "cell": [[1.348, -2.314, 0.000], [1.348, 2.314, 0.000], [0.000, 0.000, 9.092]],
  "species": ["Ni", "Ir", "Ir", "Os"],
  "fractional_positions": [[0.000, 0.000, 0.000], [0.500, 0.500, 0.241], [0.500, 0.500, 0.759], [0.000, 0.000, 0.500]]
}

***

Record 6
{
  "formula": "PaTcMo2",
  "functional": "PBE-GGA",
  "state": "optimized geometry",
  "space_group": "P4/mmm, No. 123",
  "total_energy_ev_per_atom": -10.16,
  "cell": [[3.305, 0.000, 0.000], [0.000, 3.305, 0.000], [0.000, 0.000, 6.454]],
  "species": ["Pa", "Tc", "Mo", "Mo"],
  "fractional_positions": [[0.000, 0.000, 0.000], [0.000, 0.000, 0.500], [0.500, 0.500, 0.261], [0.500, 0.500, 0.739]]
}

***

Record 7
{
  "formula": "Sm3InTe6",
  "functional": "PBE-GGA",
  "state": "optimized geometry",
  "space_group": "Cmc2_1, No. 36",
  "formation_energy_uncorrected_ev_per_atom": -1.133,
  "cell": [[6.152, -7.618, 0.000], [6.152, 7.618, 0.000], [0.000, 0.000, 7.466]],
  "species": ["Sm", "Sm", "Sm", "Sm", "Sm", "Sm", "In", "In", "Te", "Te", "Te", "Te", "Te", "Te", "Te", "Te", "Te", "Te", "Te", "Te"],
  "fractional_positions": [[0.092, 0.908, 0.500], [0.222, 0.413, 0.611], [0.413, 0.222, 0.111], [0.587, 0.778, 0.611], [0.778, 0.587, 0.111], [0.908, 0.092, 0.000], [0.294, 0.706, 0.137], [0.706, 0.294, 0.637], [0.053, 0.596, 0.343], [0.125, 0.202, 0.302], [0.202, 0.125, 0.802], [0.276, 0.724, 0.763], [0.404, 0.947, 0.343], [0.466, 0.534, 0.301], [0.534, 0.466, 0.801], [0.596, 0.053, 0.843], [0.724, 0.276, 0.263], [0.798, 0.875, 0.302], [0.875, 0.798, 0.802], [0.947, 0.404, 0.843]]
}

***

Record 8
{
  "formula": "K3AlH",
  "functional": "PBE-GGA",
  "state": "optimized geometry",
  "space_group": "Pm-3m, No. 221",
  "total_energy_ev_per_atom": -1.90,
  "cell": [[5.542, 0.000, 0.000], [0.000, 5.542, 0.000], [0.000, 0.000, 5.542]],
  "species": ["K", "K", "K", "Al", "H"],
  "fractional_positions": [[0.000, 0.000, 0.500], [0.000, 0.500, 0.000], [0.500, 0.000, 0.000], [0.500, 0.500, 0.500], [0.000, 0.000, 0.000]]
}

***

Record 9
{
  "formula": "Na2Li3Tl8",
  "functional": "PBE-GGA",
  "state": "optimized geometry",
  "space_group": "P2/m, No. 10",
  "total_energy_ev_per_atom": -2.20,
  "cell": [[7.417, 0.000, 0.000], [0.000, 4.576, 0.000], [-1.322, 0.000, 10.396]],
  "species": ["Na", "Na", "Li", "Li", "Li", "Tl", "Tl", "Tl", "Tl", "Tl", "Tl", "Tl", "Tl"],
  "fractional_positions": [[0.237, 0.000, 0.426], [0.763, 0.000, 0.574], [0.000, 0.000, 0.000], [0.300, 0.500, 0.926], [0.700, 0.500, 0.074], [0.105, 0.500, 0.176], [0.169, 0.000, 0.730], [0.401, 0.000, 0.124], [0.451, 0.500, 0.650], [0.549, 0.500, 0.350], [0.599, 0.000, 0.876], [0.831, 0.000, 0.270], [0.895, 0.500, 0.824]]
}

***

Record 10
{
  "formula": "CaPr2Au",
  "functional": "PBE-GGA",
  "state": "optimized geometry",
  "space_group": "R-3m, No. 166",
  "total_energy_ev_per_atom": -3.94,
  "cell": [[1.971, 1.138, 10.436], [-1.971, 1.138, 10.436], [0.000, -2.276, 10.436]],
  "species": ["Ca", "Pr", "Pr", "Au"],
  "fractional_positions": [[0.000, 0.000, 0.000], [0.232, 0.232, 0.232], [0.768, 0.768, 0.768], [0.500, 0.500, 0.500]]
}